PBE-GGA Mn2AlRu, optimized geometry; formation enthalpy at 0 K = -0.0502 eV/atom
1.0
2.659 0.000 0.000
0.000 3.863 0.000
-0.014 0.000 4.848
Mn Al Ru
2 1 1
Direct
0.001 0.000 0.228
0.999 0.000 0.772
0.500 0.500 0.000
0.500 0.500 0.500

---

PBE-GGA La6HgRu2Br3, optimized geometry; uncorrected formation energy = -0.9258 eV per atom
1.0
10.083 -2.097 0.000
10.083 2.097 0.000
-3.008 0.000 8.981
La Hg Ru Br
6 1 2 3
Direct
0.029 0.029 0.262
0.318 0.318 0.436
0.335 0.335 0.867
0.665 0.665 0.133
0.682 0.682 0.564
0.971 0.971 0.738
0.500 0.500 0.000
0.167 0.167 0.340
0.833 0.833 0.660
0.167 0.167 0.838
0.500 0.500 0.500
0.833 0.833 0.162

---

PBE-GGA LaCoAs2Br, optimized geometry; excess energy over the best structure of this formula in the dataset = 0 meV/atom; uncorrected formation energy = -0.4981 eV per atom
1.0
4.624 0.000 0.000
0.000 4.624 0.000
0.000 0.000 5.151
La Co As Br
1 1 2 1
Direct
0.000 0.000 0.000
0.500 0.500 0.500
0.000 0.500 0.500
0.500 0.000 0.500
0.500 0.500 0.000

---

PBE-GGA La2PmGa2, optimized geometry; excess energy over the best structure of this formula in the dataset = 180 meV/atom; formation enthalpy at 0 K = -0.2894 eV/atom
1.0
-4.207 5.851 3.216
4.207 -5.851 3.216
4.207 5.851 -3.216
La Pm Ga
4 2 4
Direct
0.148 0.128 0.277
0.352 0.628 0.980
0.648 0.372 0.020
0.852 0.872 0.723
0.250 0.750 0.500
0.750 0.250 0.500
0.112 0.766 0.878
0.388 0.266 0.654
0.612 0.734 0.346
0.888 0.234 0.122

---

Number 1: ρ 7.93 g cm⁻³, magnetization 0.00 μB/f.u., E_tot -31.56 eV per cell. Number 2: ρ 6.45 g cm⁻³, magnetization 0.00 μB/f.u., E_tot -64.55 eV per cell. Number 3: ρ 6.45 g cm⁻³, magnetization 1.03 μB/f.u., E_tot -25.50 eV per cell. Number 4: ρ 5.90 g cm⁻³, magnetization 0.00 μB/f.u., E_tot -44.21 eV per cell.